# 1
VASP calculation (GGA-PBE) on crystalline TbErNi2P2 at its relaxed geometry.

abc: 3.8810 3.8810 7.7544
angles: 90.00 90.00 120.00
Last column: nearest neighbours and their distance in Å.
Space group P-3m1 (No. 164)
Asymmetric unit:
Tb1 0.0000 0.0000 0.0000  6 Ni 2.98, 6 P 2.98
Er1 0.0000 0.0000 0.5000  6 P 2.95, 6 Ni 2.95
Ni1 0.3333 0.6667 0.7469  3 P 2.24
P1 0.3333 0.6667 0.2534  3 Ni 2.24

Properties
**E_form**: -1.221 eV per atom



# 2
VASP calculation (GGA-PBE) on crystalline Er8NiTe4P3 at its relaxed geometry.

abc: 8.1881 8.1881 20.8665
angles: 90.00 90.00 120.00
Last column: nearest neighbours and their distance in Å.
Space group R-3m (No. 166, hexagonal axes)
Asymmetric unit:
Er1 0.0000 0.0000 0.2365  3 P 2.78, 3 Te 3.11
Er2 0.0066 0.5033 0.2363  1 Ni 2.73, 2 P 2.79
Ni1 0.0000 0.0000 0.5000  6 Er 2.73
Te1 0.0000 0.0000 0.0000  6 Er 3.15
Te2 0.0000 0.5000 0.0000  6 Er 3.10-3.11
P1 0.0000 0.5000 0.5000  6 Er 2.78-2.79



# 3
VASP calculation (GGA-PBE) on crystalline ErTh2Ni12P3 at its relaxed geometry.

abc: 7.4685 7.4685 18.3165
angles: 90.00 90.00 120.00
Last column: nearest neighbours and their distance in Å.
Space group R-3m (No. 166, hexagonal axes)
Asymmetric unit:
Er1 0.0000 0.0000 0.0000  6 Ni 2.83
Th1 0.0000 0.0000 0.4000  6 Ni 2.66-2.75
Ni1 0.0299 0.5150 0.8553  2 P 2.10
Ni2 0.0823 0.5412 0.3817  1 P 2.23
P1 0.0000 0.5000 0.5000  6 Ni 2.10-2.23

Properties
**E_form**: -0.158 eV per atom



| no. | theoretical density (Mg/m³) | DFT total energy (eV/atom) |
| --- | --- | --- |
| 1 | 8.299 | -6.483 |
| 2 | 8.224 | -5.758 |
| 3 | 8.043 | -5.992 |